A plane-wave DFT calculation with PBE with a Hubbard U was carried out for a geometry-optimized KTlVO3 structure.

Structure (POSCAR):
```
KTlVO3
1.0
3.2576 -6.1187 0.0000
3.2576 6.1187 0.0000
-1.0217 0.0000 5.4328
K Tl V O
2 2 2 6
Cartesian
2.4913 5.0900 4.0746
3.0022 -5.0900 1.3582
3.0022 2.7308 1.3582
2.4913 -2.7308 4.0746
2.4913 0.6204 4.0746
3.0022 -0.6204 1.3582
2.0552 0.4274 0.0939
2.4913 2.3801 4.0746
1.5443 -0.4274 2.8103
3.9492 0.4274 2.6225
3.0022 -2.3801 1.3582
3.4383 -0.4274 5.3389
```

Computed properties:
Final energy in eV per cell: -71.0
Volume in Å³/atom: 18.0
Magnetization in μB/cell: 2.0